# 1
Compound: Sc4Pb5N
Source: the Alexandria database
Functional: PBE
Structure: relaxed

Calculated values
The value obtained for the energy relative to the elements, uncorrected is -526 meV per atom. As for the density of states at the Fermi level: 11.50 states/eV per cell.

abc: 17.8389 3.4768 7.8214
angles: 90.00 90.26 90.00
Closest atoms and distances in Å follow each position.
Space group C2/m (No. 12)
Unique sites:
Sc (0.0353, 0.0000, 0.1718) [4 per cell]  2 N 2.28
Sc (0.1113, 0.5000, 0.8804) [4 per cell]  1 N 2.20
Pb (0.0000, 0.5000, 0.5000) [2 per cell]  4 Sc 3.17, 6 Pb 3.32-3.48
Pb (0.1566, 0.0000, 0.5556) [4 per cell]  2 Sc 3.19, 5 Pb 3.25-3.48
Pb (0.2076, 0.0000, 0.1569) [4 per cell]  4 Sc 3.08-3.26, 3 Pb 3.25-3.37
N (0.0000, 0.5000, 0.0000) [2 per cell]  6 Sc 2.20-2.28

***

# 2
Compound: Sc3PbN
Source: the Alexandria database
Functional: PBE
Structure: relaxed

Calculated values
The value obtained for the energy relative to the elements, uncorrected is -1000 meV per atom. As for the density of states at the Fermi level: 7.87 states/eV per cell.

abc: 6.3351 6.3351 5.4440
angles: 90.00 90.00 120.00
Closest atoms and distances in Å follow each position.
Space group P6_3/mmc (No. 194)
Unique sites:
Sc (0.1585, 0.3170, 0.2500) [6 per cell]  2 N 2.21
Pb (0.3333, 0.6667, 0.7500) [2 per cell]  12 Sc 3.17-3.33
N (0.0000, 0.0000, 0.0000) [2 per cell]  6 Sc 2.21

***

# 3
Compound: Sc3PbN
Source: the Alexandria database
Functional: PBE
Structure: relaxed

Calculated values
The value obtained for the energy relative to the elements, uncorrected is -897 meV per atom. As for the density of states at the Fermi level: 41.54 states/eV per cell.

abc: 10.8253 12.5922 5.7781
angles: 90.00 93.58 90.00
Closest atoms and distances in Å follow each position.
Space group C2/c (No. 15)
Unique sites:
Sc (0.1104, 0.1914, 0.0906) [8 per cell]  2 N 2.24-2.25
Sc (0.1112, 0.0664, 0.5943) [8 per cell]  3 N 2.24-2.26
Sc (0.1113, 0.3229, 0.5860) [8 per cell]  1 N 2.25
Pb (0.1596, 0.4266, 0.0630) [8 per cell]  8 Sc 3.02-3.36
N (0.0000, 0.0620, 0.2500) [4 per cell]  6 Sc 2.24-2.26
N (0.0000, 0.1952, 0.7500) [4 per cell]  6 Sc 2.24-2.25

***

# 4
Compound: Sc3PbN
Source: the Alexandria database
Functional: PBE
Structure: relaxed

Calculated values
The value obtained for the energy relative to the elements, uncorrected is -1031 meV per atom. As for the density of states at the Fermi level: 11.90 states/eV per cell.

abc: 6.3326 13.3728 4.4002
angles: 90.00 90.00 90.00
Closest atoms and distances in Å follow each position.
Space group Cmmm (No. 65)
Unique sites:
Sc (0.0000, 0.1275, 0.0000) [4 per cell]  2 N 2.20
Sc (0.2331, 0.0000, 0.5000) [4 per cell]  2 N 2.26
Sc (0.2500, 0.2500, 0.5000) [4 per cell]  2 N 2.27
Pb (0.0000, 0.3686, 0.0000) [4 per cell]  11 Sc 3.14-3.28, 1 Pb 3.51
N (0.0000, 0.1283, 0.5000) [4 per cell]  6 Sc 2.20-2.27

***

# 5
Compound: Sc3PbN
Source: the Alexandria database
Functional: PBE
Structure: relaxed

Calculated values
The value obtained for the energy relative to the elements, uncorrected is -104 meV per atom. As for the density of states at the Fermi level: 7.88 states/eV per cell.

abc: 4.1786 4.1786 8.0583
angles: 90.00 90.00 90.00
Closest atoms and distances in Å follow each position.
Space group P4mm (No. 99)
Unique sites:
Sc (0.0000, 0.0000, 0.0000) [1 per cell]  1 Pb 2.92
Sc (0.0000, 0.5000, 0.6730) [2 per cell]  2 N 2.11
Pb (0.0000, 0.0000, 0.3626) [1 per cell]  5 Sc 2.92-3.26
N (0.5000, 0.5000, 0.7126) [1 per cell]  4 Sc 2.11

***

# 6
Compound: Sc3Pb2N
Source: the Alexandria database
Functional: PBE
Structure: relaxed

Calculated values
The value obtained for the energy relative to the elements, uncorrected is -646 meV per atom. As for the density of states at the Fermi level: 10.34 states/eV per cell.

abc: 5.6128 14.5260 3.2367
angles: 90.00 90.00 90.00
Closest atoms and distances in Å follow each position.
Space group Cmmm (No. 65)
Unique sites:
Sc (0.0000, 0.0000, 0.0000) [2 per cell]  2 N 2.81, 4 Pb 3.13
Sc (0.0000, 0.4019, 0.5000) [4 per cell]  2 N 2.16
Pb (0.0000, 0.1848, 0.5000) [4 per cell]  5 Sc 3.08-3.15, 4 Pb 3.24-3.39
N (0.0000, 0.5000, 0.0000) [2 per cell]  4 Sc 2.16